# 1
{"formula": "PaCdInAu", "functional": "GGA-PBE", "state": "optimized geometry", "cell": [[0.000, 3.574, 3.574], [3.574, 0.000, 3.574], [3.574, 3.574, 0.000]], "species": ["Pa", "Cd", "In", "Au"], "frac_coords": [[0.000, 0.000, 0.000], [0.250, 0.250, 0.250], [0.500, 0.500, 0.500], [0.750, 0.750, 0.750]], "magmom_total_mub_per_cell": 0.5, "delta_e_f_ev_per_fu": -0.5, "crystal_system": "cubic", "mass_density_g_cm3": 11.9}

# 2
{"formula": "Cd2InPbAu4", "functional": "GGA-PBE", "state": "optimized geometry", "cell": [[2.381, 1.374, 8.810], [-2.381, 1.374, 8.810], [0.000, -2.749, 8.810]], "species": ["Cd", "Cd", "In", "Pb", "Au", "Au", "Au", "Au"], "frac_coords": [[0.247, 0.247, 0.247], [0.753, 0.753, 0.753], [0.500, 0.500, 0.500], [0.000, 0.000, 0.000], [0.128, 0.128, 0.128], [0.388, 0.388, 0.388], [0.612, 0.612, 0.612], [0.872, 0.872, 0.872]], "magmom_total_mub_per_cell": 0.0, "delta_e_f_ev_per_fu": -0.8, "crystal_system": "trigonal", "mass_density_g_cm3": 12.8}

# 3
{"formula": "CdInPb2Au6", "functional": "GGA-PBE", "state": "optimized geometry", "cell": [[0.000, 5.178, 5.178], [5.178, 0.000, 5.178], [5.178, 5.178, 0.000]], "species": ["Cd", "In", "Pb", "Pb", "Au", "Au", "Au", "Au", "Au", "Au"], "frac_coords": [[0.000, 0.000, 0.000], [0.500, 0.500, 0.500], [0.250, 0.250, 0.250], [0.750, 0.750, 0.750], [0.250, 0.250, 0.750], [0.250, 0.750, 0.250], [0.250, 0.750, 0.750], [0.750, 0.250, 0.250], [0.750, 0.250, 0.750], [0.750, 0.750, 0.250]], "magmom_total_mub_per_cell": 0.0, "delta_e_f_ev_per_fu": 3.6, "crystal_system": "cubic", "mass_density_g_cm3": 10.9}

Copy entry 1 word for word.
{"formula": "PaCdInAu", "functional": "GGA-PBE", "state": "optimized geometry", "cell": [[0.000, 3.574, 3.574], [3.574, 0.000, 3.574], [3.574, 3.574, 0.000]], "species": ["Pa", "Cd", "In", "Au"], "frac_coords": [[0.000, 0.000, 0.000], [0.250, 0.250, 0.250], [0.500, 0.500, 0.500], [0.750, 0.750, 0.750]], "magmom_total_mub_per_cell": 0.5, "delta_e_f_ev_per_fu": -0.5, "crystal_system": "cubic", "mass_density_g_cm3": 11.9}